[1]
DFT (SCAN) results for a crystal of ScSe2N relaxed with PBEsol.

Structure (CIF):
```
data_ScSe2N
_space_group_name_H-M_alt 'I -4 2 d'
_space_group_IT_number 122
_space_group_name_Hall 'I -4 2bw'
_cell_length_a 5.237
_cell_length_b 5.237
_cell_length_c 12.056
_cell_angle_alpha 90.00
_cell_angle_beta 90.00
_cell_angle_gamma 90.00
loop_
_atom_site_label
_atom_site_type_symbol
_atom_site_fract_x
_atom_site_fract_y
_atom_site_fract_z
_atom_site_occupancy
Sc1 Sc 0.000 0.000 0.000 1
Se1 Se 0.168 0.250 0.625 1
N1 N 0.000 0.000 0.500 1
```

calculated density = 4.36 g/cm3

[2]
DFT (SCAN) results for a crystal of KFeTe relaxed with PBEsol.

Structure (CIF):
```
data_KFeTe
_space_group_name_H-M_alt 'P -6 m 2'
_space_group_IT_number 187
_space_group_name_Hall 'P -6 2'
_cell_length_a 4.4107
_cell_length_b 4.4107
_cell_length_c 5.2151
_cell_angle_alpha 90.00
_cell_angle_beta 90.00
_cell_angle_gamma 120.00
loop_
_atom_site_label
_atom_site_type_symbol
_atom_site_fract_x
_atom_site_fract_y
_atom_site_fract_z
_atom_site_occupancy
K1 K 0.0000 0.0000 0.0000 1
Fe1 Fe 0.6667 0.3333 0.5000 1
Te1 Te 0.3333 0.6667 0.5000 1
```

calculated density = 4.21 g/cm3

[3]
DFT (SCAN) results for a crystal of CrWBr2 relaxed with PBEsol.

Structure (CIF):
```
data_CrWBr2
_space_group_name_H-M_alt 'P 4/m m m'
_space_group_IT_number 123
_space_group_name_Hall '-P 4 2'
_cell_length_a 4.548
_cell_length_b 4.548
_cell_length_c 3.230
_cell_angle_alpha 90.00
_cell_angle_beta 90.00
_cell_angle_gamma 90.00
loop_
_atom_site_label
_atom_site_type_symbol
_atom_site_fract_x
_atom_site_fract_y
_atom_site_fract_z
_atom_site_occupancy
Cr1 Cr 0.000 0.000 0.000 1
W1 W 0.500 0.500 0.000 1
Br1 Br 0.000 0.500 0.500 1
```

calculated density = 9.83 g/cm3
E above lowest polymorph = 0.000 eV per atom

We obtain energy relative to the elements, uncorrected values of 0.15 -0.25 1.08 eV/atom for the records listed above, in that order.
We obtain DOS(E_F) values of 9.5 2.0 1.5 states/eV per cell for the records listed above, in that order.